12
Lattice="8.4299 0.0000 0.0000 0.0000 4.8717 0.0000 -2.8335 0.0000 4.4583" Properties=species:S:1:pos:R:3 comment="Pu2CrFe3 | the Alexandria database | PBE | relaxed" delta_e_f_ev_per_atom=0.048 space_group="C2/m, No. 12" final_energy_ev_per_cell=-126.8 pbc="T T T"
Pu -0.0097 0.0000 1.6528
Pu 1.3912 2.4359 2.8055
Pu 4.2052 2.4359 1.6528
Pu 5.6061 0.0000 2.8055
Cr -1.4168 2.4359 2.2291
Cr 2.7982 0.0000 2.2291
Fe 0.0000 2.4359 0.0000
Fe 2.1075 1.2179 0.0000
Fe 2.1075 3.6538 0.0000
Fe 4.2149 0.0000 0.0000
Fe 6.3224 1.2179 0.0000
Fe 6.3224 3.6538 0.0000